Record 1
Compound: TbZnC
Source: Alexandria
Functional: GGA-PBE
Structure: relaxed

```
TbZnC
1.0
-1.823 1.823 8.754
1.823 -1.823 8.754
1.823 1.823 -8.754
Tb Zn C
2 2 2
Direct
0.182 0.182 0.000
0.818 0.818 0.000
0.433 0.433 0.000
0.567 0.567 0.000
0.320 0.320 0.000
0.680 0.680 0.000
```

## Properties
**Total energy**: -15.1 eV/f.u.
**Density**: 6.75 Mg/m³
**Calculated formation energy**: -2 meV per atom


Record 2
Compound: Tb2ZnC
Source: Alexandria
Functional: GGA-PBE
Structure: relaxed

```
Tb2ZnC
1.0
1.828 1.055 7.366
-1.828 1.055 7.366
0.000 -2.111 7.366
Tb Zn C
2 1 1
Direct
0.228 0.228 0.228
0.772 0.772 0.772
0.000 0.000 0.000
0.500 0.500 0.500
```

## Properties
**Total energy**: -20.7 eV/f.u.
**Density**: 7.70 Mg/m³
**Calculated formation energy**: -225 meV per atom


Record 3
Compound: TbZr5C4
Source: Alexandria
Functional: GGA-PBE
Structure: relaxed

```
TbZr5C4
1.0
7.366 -1.695 0.000
7.366 1.695 0.000
-1.685 0.000 6.634
Tb Zr C
1 5 4
Direct
0.000 0.000 0.000
0.000 0.000 0.500
0.334 0.334 0.147
0.335 0.335 0.682
0.665 0.665 0.318
0.666 0.666 0.853
0.173 0.173 0.094
0.495 0.495 0.730
0.505 0.505 0.270
0.827 0.827 0.906
```

## Properties
**Total energy**: -89.4 eV/f.u.
**Density**: 6.65 Mg/m³
**Calculated formation energy**: -514 meV per atom


Record 4
Compound: Tb2ZrC
Source: Alexandria
Functional: GGA-PBE
Structure: relaxed

```
Tb2ZrC
1.0
1.716 0.991 9.375
-1.716 0.991 9.375
0.000 -1.982 9.375
Tb Zr C
2 1 1
Direct
0.118 0.118 0.118
0.882 0.882 0.882
0.000 0.000 0.000
0.500 0.500 0.500
```

## Properties
**Total energy**: -26.5 eV/f.u.
**Density**: 7.31 Mg/m³
**Calculated formation energy**: 124 meV per atom